1.
## Zr2Be2O5 (PBE)

Data for a relaxed Zr2Be2O5 crystal.

Properties
Raw total energy = -7.85 eV per atom

CIF file:
```
data_Zr2Be2O5
_chemical_formula_sum 'Zr2 Be2 O5'
_symmetry_space_group_name_H-M 'P 4/m m m'
_symmetry_Int_Tables_number 123
_symmetry_space_group_name_Hall '-P 4 2'
_cell_length_a 3.459
_cell_length_b 3.459
_cell_length_c 6.678
_cell_angle_alpha 90.00
_cell_angle_beta 90.00
_cell_angle_gamma 90.00
loop_
_atom_site_label
_atom_site_type_symbol
_atom_site_fract_x
_atom_site_fract_y
_atom_site_fract_z
Zr1 Zr 0.000 0.000 0.000
Zr2 Zr 0.000 0.000 0.500
Be1 Be 0.500 0.500 0.243
O1 O 0.000 0.500 0.276
O2 O 0.500 0.500 0.000
```

---

2.
## Sm3HgPt8 (PBE)

Data for a relaxed Sm3HgPt8 crystal.

Properties
Formation enthalpy at 0 K = -1082.0 kJ/mol of formula units

CIF file:
```
data_Sm3HgPt8
_chemical_formula_sum 'Sm9 Hg3 Pt24'
_symmetry_space_group_name_H-M 'R 3 m'
_symmetry_Int_Tables_number 160
_symmetry_space_group_name_Hall 'R 3 -2"'
_cell_length_a 5.4521
_cell_length_b 5.4521
_cell_length_c 26.7579
_cell_angle_alpha 90.00
_cell_angle_beta 90.00
_cell_angle_gamma 120.00
loop_
_atom_site_label
_atom_site_type_symbol
_atom_site_fract_x
_atom_site_fract_y
_atom_site_fract_z
Sm1 Sm 0.0000 0.0000 0.0000
Sm2 Sm 0.0000 0.0000 0.1290
Sm3 Sm 0.0000 0.0000 0.5148
Hg1 Hg 0.0000 0.0000 0.6358
Pt1 Pt 0.0000 0.0000 0.3191
Pt2 Pt 0.0000 0.0000 0.8190
Pt3 Pt 0.0015 0.5007 0.0706
Pt4 Pt 0.1686 0.3371 0.9011
```

---

3.
## ZnAgSnAu (PBE)

Data for a relaxed ZnAgSnAu crystal.

Properties
Raw total energy = -2.82 eV per atom

CIF file:
```
data_ZnAgSnAu
_chemical_formula_sum 'Zn4 Ag4 Sn4 Au4'
_symmetry_space_group_name_H-M 'F -4 3 m'
_symmetry_Int_Tables_number 216
_symmetry_space_group_name_Hall 'F -4 2 3'
_cell_length_a 6.791
_cell_length_b 6.791
_cell_length_c 6.791
_cell_angle_alpha 90.00
_cell_angle_beta 90.00
_cell_angle_gamma 90.00
loop_
_atom_site_label
_atom_site_type_symbol
_atom_site_fract_x
_atom_site_fract_y
_atom_site_fract_z
Zn1 Zn 0.000 0.000 0.000
Ag1 Ag 0.250 0.250 0.750
Sn1 Sn 0.000 0.000 0.500
Au1 Au 0.250 0.250 0.250
```

---

4.
## LuTlCuMo (PBE)

Data for a relaxed LuTlCuMo crystal.

Properties
Raw total energy = -4.74 eV per atom

CIF file:
```
data_LuTlCuMo
_chemical_formula_sum 'Lu4 Tl4 Cu4 Mo4'
_symmetry_space_group_name_H-M 'F -4 3 m'
_symmetry_Int_Tables_number 216
_symmetry_space_group_name_Hall 'F -4 2 3'
_cell_length_a 6.805
_cell_length_b 6.805
_cell_length_c 6.805
_cell_angle_alpha 90.00
_cell_angle_beta 90.00
_cell_angle_gamma 90.00
loop_
_atom_site_label
_atom_site_type_symbol
_atom_site_fract_x
_atom_site_fract_y
_atom_site_fract_z
Lu1 Lu 0.000 0.000 0.000
Tl1 Tl 0.250 0.250 0.250
Cu1 Cu 0.000 0.000 0.500
Mo1 Mo 0.250 0.250 0.750
```

---

5.
## PmSbNO (PBE)

Data for a relaxed PmSbNO crystal.

Properties
Raw total energy = -6.58 eV per atom

CIF file:
```
data_PmSbNO
_chemical_formula_sum 'Pm2 Sb2 N2 O2'
_symmetry_space_group_name_H-M 'P 4/n m m'
_symmetry_Int_Tables_number 129
_cell_length_a 4.961
_cell_length_b 4.961
_cell_length_c 5.176
_cell_angle_alpha 90.00
_cell_angle_beta 90.00
_cell_angle_gamma 90.00
loop_
_symmetry_equiv_pos_as_xyz
'x,y,z'
'-x,-y,-z'
'-y+1/2,x,z'
'y+1/2,-x,-z'
'-x+1/2,-y+1/2,z'
'x+1/2,y+1/2,-z'
'y,-x+1/2,z'
'-y,x+1/2,-z'
'x+1/2,-y,-z'
'-x+1/2,y,z'
'-y,-x,-z'
'y,x,z'
'-x,y+1/2,-z'
'x,-y+1/2,z'
'y+1/2,x+1/2,-z'
'-y+1/2,-x+1/2,z'
loop_
_atom_site_label
_atom_site_type_symbol
_atom_site_fract_x
_atom_site_fract_y
_atom_site_fract_z
Pm1 Pm 0.250 0.750 0.000
Sb1 Sb 0.250 0.250 0.499
N1 N 0.250 0.250 0.894
O1 O 0.250 0.750 0.500
```

---

6.
## Nd2Dy3YCoTe2 (PBE)

Data for a relaxed Nd2Dy3YCoTe2 crystal.

Properties
Raw total energy = -5.50 eV per atom

CIF file:
```
data_Nd2Dy3YCoTe2
_chemical_formula_sum 'Nd4 Dy6 Y2 Co2 Te4'
_symmetry_space_group_name_H-M 'A m m 2'
_symmetry_Int_Tables_number 38
_symmetry_space_group_name_Hall 'A 2 -2'
_cell_length_a 3.970
_cell_length_b 14.621
_cell_length_c 8.425
_cell_angle_alpha 90.00
_cell_angle_beta 90.00
_cell_angle_gamma 90.00
loop_
_atom_site_label
_atom_site_type_symbol
_atom_site_fract_x
_atom_site_fract_y
_atom_site_fract_z
Nd1 Nd 0.000 0.204 0.000
Dy1 Dy 0.500 0.000 0.025
Dy2 Dy 0.500 0.118 0.684
Y1 Y 0.000 0.000 0.405
Co1 Co 0.000 0.000 0.775
Te1 Te 0.500 0.161 0.299
```

---

Ordered volume results: 79.9 688.8 313.2 315.1 127.4 489.0; unit Å³ per cell.